First-principles (PBEsol) data for MnC7 after structural relaxation, as listed in Alexandria via LeMat-Bulk.

Lattice parameters (Å, degrees): 4.2688 4.2688 4.2688 60.00 60.00 60.00
Last column: nearest neighbours and their distance in Å.
Fractional positions:
Mn 0.0000 0.0000 0.0000  12 C 2.13
C 0.0000 0.0000 0.5000  2 Mn 2.13, 10 C 2.13
C 0.0000 0.5000 0.0000  2 Mn 2.13, 10 C 2.13
C 0.0000 0.5000 0.5000  2 Mn 2.13, 10 C 2.13
C 0.5000 0.0000 0.0000  2 Mn 2.13, 10 C 2.13
C 0.5000 0.0000 0.5000  2 Mn 2.13, 10 C 2.13
C 0.5000 0.5000 0.0000  2 Mn 2.13, 10 C 2.13
C 0.5000 0.5000 0.5000  12 C 2.13

Results
For the formation enthalpy at 0 K, the calculation gives 330.4 kJ per mole of atoms. As for the volume: 55 Å³/cell.



First-principles (PBEsol) data for MnC2 after structural relaxation, as listed in Alexandria via LeMat-Bulk.

Lattice parameters (Å, degrees): 4.1614 4.1614 4.1614 35.56 35.56 35.56
Last column: nearest neighbours and their distance in Å.
Fractional positions:
Mn 0.0000 0.0000 0.0000  8 C 2.13-2.29
C 0.1823 0.1823 0.1823  3 C 1.51
C 0.8177 0.8177 0.8177  3 C 1.51

Results
For the formation enthalpy at 0 K, the calculation gives 45.3 kJ per mole of atoms. As for the volume: 22 Å³/cell. The energy above the most stable polymorph in this dataset comes out at 0 meV per atom.



First-principles (PBEsol) data for MnC2 after structural relaxation, as listed in Alexandria via LeMat-Bulk.

Lattice parameters (Å, degrees): 4.7273 4.7273 2.4931 90.00 90.00 90.00
Last column: nearest neighbours and their distance in Å.
Fractional positions:
Mn 0.0000 0.0000 0.0000  6 C 1.90-1.91
Mn 0.5000 0.5000 0.5000  6 C 1.90-1.91
C 0.2146 0.2146 0.5000  3 Mn 1.90-1.91
C 0.2854 0.7146 0.0000  3 Mn 1.90-1.91
C 0.7146 0.2854 0.0000  3 Mn 1.90-1.91
C 0.7854 0.7854 0.5000  3 Mn 1.90-1.91

Results
For the formation enthalpy at 0 K, the calculation gives 139.3 kJ per mole of atoms. As for the volume: 56 Å³/cell. The energy above the most stable polymorph in this dataset comes out at 974 meV per atom.



First-principles (PBEsol) data for MnC2 after structural relaxation, as listed in Alexandria via LeMat-Bulk.

Lattice parameters (Å, degrees): 5.8949 5.8949 5.8949 155.48 141.84 45.89
Last column: nearest neighbours and their distance in Å.
Fractional positions:
Mn 0.2975 0.0475 0.2500  2 C 1.90
Mn 0.7025 0.9525 0.7500  2 C 1.90
C 0.0336 0.2836 0.7500  3 C 1.44-1.45
C 0.1662 0.4162 0.7500  1 C 1.44
C 0.8338 0.5838 0.2500  1 C 1.44
C 0.9664 0.7164 0.2500  3 C 1.44-1.45

Results
For the formation enthalpy at 0 K, the calculation gives 64.1 kJ per mole of atoms. As for the volume: 52 Å³/cell. The energy above the most stable polymorph in this dataset comes out at 194 meV per atom.



First-principles (PBEsol) data for MnC2 after structural relaxation, as listed in Alexandria via LeMat-Bulk.

Lattice parameters (Å, degrees): 5.2687 5.2687 2.6636 90.00 90.00 120.00
Last column: nearest neighbours and their distance in Å.
Fractional positions:
Mn 0.0000 0.0000 0.0000  9 C 1.95-1.96
Mn 0.3333 0.6667 0.5000  9 C 1.94-2.13
Mn 0.6667 0.3333 0.5000  9 C 1.94-2.13
C 0.0000 0.3726 0.0000  5 Mn 1.96-2.13
C 0.0000 0.7293 0.5000  4 Mn 1.94-1.95
C 0.2707 0.2707 0.5000  4 Mn 1.94-1.95
C 0.3726 0.0000 0.0000  5 Mn 1.96-2.13
C 0.6274 0.6274 0.0000  5 Mn 1.96-2.13
C 0.7293 0.0000 0.5000  4 Mn 1.94-1.95

Results
For the formation enthalpy at 0 K, the calculation gives 123.7 kJ per mole of atoms. As for the volume: 64 Å³/cell. The energy above the most stable polymorph in this dataset comes out at 812 meV per atom.



First-principles (PBEsol) data for MnC after structural relaxation, as listed in Alexandria via LeMat-Bulk.

Lattice parameters (Å, degrees): 2.6499 2.6499 2.7959 90.00 90.00 90.00
Last column: nearest neighbours and their distance in Å.
Fractional positions:
Mn 0.0000 0.0000 0.0000  4 C 1.87
C 0.5000 0.5000 0.0000  4 Mn 1.87

Results
For the formation enthalpy at 0 K, the calculation gives 72.5 kJ per mole of atoms. As for the volume: 20 Å³/cell.



First-principles (PBEsol) data for MnMoC3 after structural relaxation, as listed in Alexandria via LeMat-Bulk.

Lattice parameters (Å, degrees): 3.6638 3.6638 3.6638 90.00 90.00 90.00
Last column: nearest neighbours and their distance in Å.
Fractional positions:
Mn 0.0000 0.0000 0.0000  6 C 1.83
Mo 0.5000 0.5000 0.5000  12 C 2.59
C 0.0000 0.0000 0.5000  2 Mn 1.83
C 0.0000 0.5000 0.0000  2 Mn 1.83
C 0.5000 0.0000 0.0000  2 Mn 1.83

Results
For the formation enthalpy at 0 K, the calculation gives 176.3 kJ per mole of atoms. As for the volume: 49 Å³/cell.



First-principles (PBEsol) data for MnMoC2 after structural relaxation, as listed in Alexandria via LeMat-Bulk.

Lattice parameters (Å, degrees): 3.6592 3.6592 3.6592 60.00 60.00 60.00
Last column: nearest neighbours and their distance in Å.
Fractional positions:
Mn 0.0000 0.0000 0.0000  8 C 2.24
Mo 0.5000 0.5000 0.5000  8 C 2.24
C 0.2500 0.2500 0.2500  4 Mn 2.24, 4 Mo 2.24
C 0.7500 0.7500 0.7500  4 Mn 2.24, 4 Mo 2.24

Results
For the formation enthalpy at 0 K, the calculation gives 63.8 kJ per mole of atoms. As for the volume: 35 Å³/cell. The energy above the most stable polymorph in this dataset comes out at 196 meV per atom.